1.
## InTcSb (PBE-GGA)

Data for a geometry-optimized InTcSb structure.

Results
Space-group type: No. 156
Energy above the lowest structure with this stoichiometry (eV/atom): 0.000
DOS at the Fermi energy (states/eV per atom): 0.56
E_form (uncorrected) (eV/f.u.): 0.45

Cell and atoms, written as POSCAR:
```
InTcSb
1.0
3.3144 0.0000 0.0000
-1.6572 2.8704 0.0000
0.0000 0.0000 6.6870
In Sb Tc
1 1 1
Cartesian
0.0000 0.0000 6.4651
1.6572 0.9568 2.5278
0.0000 1.9136 4.3812
```



2.
## InTcSb2 (PBE-GGA)

Data for a geometry-optimized InTcSb2 structure.

Results
Space-group type: No. 119
DOS at the Fermi energy (states/eV per atom): 1.14
E_form (uncorrected) (eV/f.u.): 2.32

Cell and atoms, written as POSCAR:
```
InTcSb2
1.0
-2.7082 2.0251 4.2696
-4.1959 -3.2323 1.2695
5.2847 -1.0169 -0.8385
In Sb Tc
1 2 1
Cartesian
-0.4378 0.2023 3.1003
0.0000 0.0000 0.0000
-1.1816 -2.4264 1.6003
-3.4521 -0.6036 2.7695
```



3.
## InTcSb2 (PBE-GGA)

Data for a geometry-optimized InTcSb2 structure.

Results
Space-group type: No. 123
DOS at the Fermi energy (states/eV per atom): 0.88
E_form (uncorrected) (eV/f.u.): 2.31

Cell and atoms, written as POSCAR:
```
InTcSb2
1.0
4.9413 0.0000 0.0000
0.0000 4.9413 0.0000
0.0000 0.0000 3.6086
In Sb Tc
1 2 1
Cartesian
0.0000 2.4707 1.8043
0.0000 0.0000 0.0000
2.4707 2.4707 0.0000
2.4707 0.0000 1.8043
```



4.
## InTc2Sb2 (PBE-GGA)

Data for a geometry-optimized InTc2Sb2 structure.

Results
Space-group type: No. 139
Energy above the lowest structure with this stoichiometry (eV/atom): 0.194
DOS at the Fermi energy (states/eV per atom): 0.97
E_form (uncorrected) (eV/f.u.): 1.98

Cell and atoms, written as POSCAR:
```
InTc2Sb2
1.0
-1.9706 1.8188 3.2708
0.2105 -3.6368 2.1492
4.3920 0.7335 4.9729
Sb Tc In
2 2 1
Cartesian
0.7707 0.8217 5.4769
1.8613 -1.9062 4.9160
0.2784 -0.5481 3.2072
2.3536 -0.5364 7.1857
0.0000 0.0000 0.0000
```



5.
## InTcSb3 (PBE-GGA)

Data for a geometry-optimized InTcSb3 structure.

Results
Space-group type: No. 221
Energy above the lowest structure with this stoichiometry (eV/atom): 1.123
DOS at the Fermi energy (states/eV per atom): 1.18
E_form (uncorrected) (eV/f.u.): 7.60

Cell and atoms, written as POSCAR:
```
InTcSb3
1.0
-4.7019 -1.4008 -2.5425
-0.8424 -3.9731 3.7469
-2.7779 3.5758 3.1672
Sb Tc In
3 1 1
Cartesian
-0.4212 -1.9865 1.8734
-1.3890 1.7879 1.5836
-2.3509 -0.7004 -1.2712
-4.1611 -0.8990 2.1858
0.0000 0.0000 0.0000
```



6.
## InTc4Sb (PBE-GGA)

Data for a geometry-optimized InTc4Sb structure.

Results
Space-group type: No. 216
DOS at the Fermi energy (states/eV per atom): 1.21
E_form (uncorrected) (eV/f.u.): 2.63

Cell and atoms, written as POSCAR:
```
InTc4Sb
1.0
0.0000 3.7455 3.7455
3.7455 0.0000 3.7455
3.7455 3.7455 0.0000
In Tc Sb
1 4 1
Cartesian
5.6183 5.6183 5.6183
2.8061 4.6849 4.6849
4.6849 4.6849 2.8061
4.6849 2.8061 4.6849
2.8061 2.8061 2.8061
0.0000 0.0000 0.0000
```



7.
## InTcSb2 (PBE-GGA)

Data for a geometry-optimized InTcSb2 structure.

Results
Space-group type: No. 123
DOS at the Fermi energy (states/eV per atom): 0.43
E_form (uncorrected) (eV/f.u.): 0.08

Cell and atoms, written as POSCAR:
```
InTcSb2
1.0
-2.3761 2.1058 0.8630
-0.5875 -1.7730 2.7086
5.6045 4.5935 4.2225
Sb Tc In
2 1 1
Cartesian
0.3146 0.2579 0.2370
2.4876 2.0389 1.8742
-0.0807 1.3148 2.8414
2.7215 3.6115 4.9526
```



8.
## InTcSb2 (PBE-GGA)

Data for a geometry-optimized InTcSb2 structure.

Results
Space-group type: No. 44
DOS at the Fermi energy (states/eV per atom): 0.67
E_form (uncorrected) (eV/f.u.): 0.78

Cell and atoms, written as POSCAR:
```
InTcSb2
1.0
-3.8376 6.1837 0.4007
-6.3037 2.0853 3.0068
6.6876 -2.8967 0.1049
In Sb Tc
1 2 1
Cartesian
-2.9954 2.1932 2.6268
-10.0057 8.1584 3.3619
-0.3985 3.1303 0.8655
-5.2661 4.2939 1.7694
```



9.
## InTcSb2 (PBE-GGA)

Data for a geometry-optimized InTcSb2 structure.

Results
Space-group type: No. 122
DOS at the Fermi energy (states/eV per atom): 0.45
E_form (uncorrected) (eV/f.u.): 1.64

Cell and atoms, written as POSCAR:
```
InTcSb2
1.0
6.3013 0.0000 0.0000
0.0000 6.3013 0.0000
3.1507 3.1507 6.4541
Sb Tc In
4 2 2
Cartesian
4.3786 1.5753 1.6135
1.9227 4.7260 1.6135
4.7260 5.0734 4.8406
7.8767 7.5293 4.8406
3.1507 3.1507 0.0000
3.1507 6.3013 3.2271
0.0000 0.0000 0.0000
6.3013 3.1507 3.2271
```



10.
## InTcSb2 (PBE-GGA)

Data for a geometry-optimized InTcSb2 structure.

Results
Space-group type: No. 99
DOS at the Fermi energy (states/eV per atom): 0.62
E_form (uncorrected) (eV/f.u.): 0.69

Cell and atoms, written as POSCAR:
```
InTcSb2
1.0
-1.6901 -1.4043 2.4088
0.7084 -2.9406 -1.2173
7.0139 -0.2798 4.7579
In Sb Tc
1 2 1
Cartesian
4.4144 -2.3681 3.9233
6.9409 -0.2769 4.7084
1.7337 -2.2612 2.1048
3.4640 -0.1382 2.3498
```



11.
## InTcSb (PBE-GGA)

Data for a geometry-optimized InTcSb structure.

Results
Space-group type: No. 187
Energy above the lowest structure with this stoichiometry (eV/atom): 0.277
DOS at the Fermi energy (states/eV per atom): 0.71
E_form (uncorrected) (eV/f.u.): 1.28

Cell and atoms, written as POSCAR:
```
InTcSb
1.0
-1.6515 1.0118 -4.1175
3.9248 -2.2704 0.3822
-1.7708 -3.0686 -0.0438
In Sb Tc
1 1 1
Cartesian
-1.7703 -3.0678 -0.0438
1.1808 -2.7104 -1.1396
-0.6788 -1.6177 -2.6396
```



12.
## InTcSb (PBE-GGA)

Data for a geometry-optimized InTcSb structure.

Results
Space-group type: No. 107
Energy above the lowest structure with this stoichiometry (eV/atom): 0.036
DOS at the Fermi energy (states/eV per atom): 1.04
E_form (uncorrected) (eV/f.u.): 0.56

Cell and atoms, written as POSCAR:
```
InTcSb
1.0
6.3914 -0.0639 0.0679
5.5819 3.1146 0.0761
0.8096 0.1995 3.1723
In Sb Tc
1 1 1
Cartesian
1.1298 0.2813 3.0854
4.1377 1.0495 2.2695
8.3249 2.1189 1.1337
```



13.
## InTcSb2 (PBE-GGA)

Data for a geometry-optimized InTcSb2 structure.

Results
Space-group type: No. 12
DOS at the Fermi energy (states/eV per atom): 0.89
E_form (uncorrected) (eV/f.u.): 1.99

Cell and atoms, written as POSCAR:
```
InTcSb2
1.0
-0.7524 4.9630 5.0627
-2.8599 -4.1648 -0.0041
0.9656 -0.5600 3.4085
In Sb Tc
1 2 1
Cartesian
-1.8061 0.3991 2.5293
0.0000 0.0000 0.0000
0.1066 2.2015 4.2356
-0.9471 -2.3624 1.7022
```



14.
## InTcSb2 (PBE-GGA)

Data for a geometry-optimized InTcSb2 structure.

Results
Space-group type: No. 8
DOS at the Fermi energy (states/eV per atom): 0.70
E_form (uncorrected) (eV/f.u.): 0.49

Cell and atoms, written as POSCAR:
```
InTcSb2
1.0
5.3222 0.0122 0.0020
4.3207 3.1075 0.0020
2.2420 0.7253 6.0175
In Sb Tc
1 2 1
Cartesian
2.6119 0.8450 2.3368
0.2366 0.0765 0.0998
9.7429 3.1521 4.3657
5.2359 1.6940 2.2300
```



15.
## InTcSb2 (PBE-GGA)

Data for a geometry-optimized InTcSb2 structure.

Results
Space-group type: No. 47
DOS at the Fermi energy (states/eV per atom): 0.87
E_form (uncorrected) (eV/f.u.): 2.31

Cell and atoms, written as POSCAR:
```
InTcSb2
1.0
-1.8266 1.2274 2.9265
-3.2031 -3.7083 -0.4439
2.7878 -2.7546 2.8953
In Sb Tc
1 2 1
Cartesian
-0.2077 -3.2315 1.2257
0.0000 0.0000 0.0000
-2.5149 -1.2405 1.2413
0.4806 -0.7636 2.9109
```



16.
## InTcSb3 (PBE-GGA)

Data for a geometry-optimized InTcSb3 structure.

Results
Space-group type: No. 221
Energy above the lowest structure with this stoichiometry (eV/atom): 0.000
DOS at the Fermi energy (states/eV per atom): 1.26
E_form (uncorrected) (eV/f.u.): 1.99

Cell and atoms, written as POSCAR:
```
InTcSb3
1.0
-2.2238 1.0511 4.5979
-4.5395 -1.8566 -1.7711
1.2800 -4.7580 1.7068
Sb Tc In
3 1 1
Cartesian
-2.2697 -0.9283 -0.8855
0.6400 -2.3790 0.8534
-1.1119 0.5256 2.2989
0.0000 0.0000 0.0000
-2.7416 -2.7817 2.2668
```



17.
## InTcSb2 (PBE-GGA)

Data for a geometry-optimized InTcSb2 structure.

Results
Space-group type: No. 6
DOS at the Fermi energy (states/eV per atom): 0.69
E_form (uncorrected) (eV/f.u.): 1.26

Cell and atoms, written as POSCAR:
```
InTcSb2
1.0
-2.2143 -1.0472 3.9587
-2.4390 -2.0655 -1.9107
1.7830 -5.1462 -0.3640
In Sb Tc
1 2 1
Cartesian
-1.0377 -5.6861 0.6526
-0.7773 -6.7084 -2.2094
-1.1743 -2.7943 1.3411
-0.8651 -3.8877 -1.5123
```



18.
## InTcSb2 (PBE-GGA)

Data for a geometry-optimized InTcSb2 structure.

Results
Space-group type: No. 10
DOS at the Fermi energy (states/eV per atom): 0.60
E_form (uncorrected) (eV/f.u.): 1.58

Cell and atoms, written as POSCAR:
```
InTcSb2
1.0
-3.3945 -3.0254 -0.1800
1.8308 -1.8700 -3.0970
3.4526 -3.9877 1.9119
In Sb Tc
1 2 1
Cartesian
2.2653 -5.9059 -0.9788
0.3222 -0.3416 -0.3354
2.3195 -2.5872 -0.2572
-0.3764 -2.9771 -0.3863
```



19.
## InTcSb2 (PBE-GGA)

Data for a geometry-optimized InTcSb2 structure.

Results
Space-group type: No. 71
DOS at the Fermi energy (states/eV per atom): 0.80
E_form (uncorrected) (eV/f.u.): 0.45

Cell and atoms, written as POSCAR:
```
InTcSb2
1.0
-0.1861 0.4553 -6.9736
4.9581 -0.6152 -4.8900
-3.7621 -2.3331 5.4108
In Sb Tc
1 2 1
Cartesian
1.7910 -1.5141 -2.7055
4.4110 -0.1478 -10.9662
2.7470 -0.0920 -6.8293
-0.7811 -0.9788 -3.7473
```



20.
## InTcSb2 (PBE-GGA)

Data for a geometry-optimized InTcSb2 structure.

Results
Space-group type: No. 160
DOS at the Fermi energy (states/eV per atom): 0.85
E_form (uncorrected) (eV/f.u.): 0.92

Cell and atoms, written as POSCAR:
```
InTcSb2
1.0
-9.1396 3.3791 -1.5416
-8.4991 2.1242 -4.5366
-9.6323 0.1588 -2.1265
In Sb Tc
1 2 1
Cartesian
-20.7933 4.3171 -6.2558
-0.0686 0.0142 -0.0206
-6.3570 1.3198 -1.9125
-13.6877 2.8418 -4.1180
```